# Li3Ce2Pb4, optimized geometry, DFT PBE
data_Li3Ce2Pb4
_space_group_name_H-M_alt 'C m c e'
_space_group_IT_number 64
_space_group_name_Hall '-C 2ac 2'
_cell_length_a 6.5925
_cell_length_b 16.3750
_cell_length_c 8.3260
_cell_angle_alpha 90.00
_cell_angle_beta 90.00
_cell_angle_gamma 90.00
loop_
_atom_site_label
_atom_site_type_symbol
_atom_site_fract_x
_atom_site_fract_y
_atom_site_fract_z
Li1 Li 0.0000 0.0000 0.0000
Li2 Li 0.2500 0.2227 0.2500
Ce1 Ce 0.0000 0.1109 0.5873
Pb1 Pb 0.0000 0.1790 0.9693
Pb2 Pb 0.2500 0.0493 0.2500
# DFT total energy, eV per cell: -141.56
# Mass density, g/cm3: 8.349
# V, Å³/atom: 24.97
# Excess energy over the best structure of this formula in the dataset, eV per formula unit: 0.000